Record 1
Computed, not measured: TiMnCoTe2 after structural relaxation at the PBE-GGA level of DFT.

Cell lengths 4.9965, 4.9965, 4.4213 Å; angles 90.00, 90.00, 90.00 degrees
Sites, in units of the cell vectors:
Ti: 0.0000 0.0000 0.0000
Mn: 0.5000 0.5000 0.0000
Co: 0.5000 0.5000 0.5000
Te: 0.0000 0.5000 0.5000
Te: 0.5000 0.0000 0.5000

The value obtained for the uncorrected formation energy is 476 meV/atom. For the density of states at the Fermi level, the calculation gives 3.52 states/eV/f.u.

***

Record 2
Computed, not measured: MnTlCo2Te after structural relaxation at the PBE-GGA level of DFT.

Cell lengths 4.5605, 4.5605, 5.8233 Å; angles 90.00, 90.00, 90.00 degrees
Sites, in units of the cell vectors:
Mn: 0.0000 0.0000 0.0000
Tl: 0.5000 0.5000 0.0000
Co: 0.0000 0.5000 0.5000
Co: 0.5000 0.0000 0.5000
Te: 0.5000 0.5000 0.5000

The value obtained for the uncorrected formation energy is 1750 meV/atom. For the density of states at the Fermi level, the calculation gives 9.98 states/eV/f.u.

***

Record 3
Computed, not measured: Th4MnCo after structural relaxation at the PBE-GGA level of DFT.

Cell lengths 6.4997, 7.0653, 7.0749 Å; angles 78.73, 86.34, 79.03 degrees
Sites, in units of the cell vectors:
Th: 0.1730 0.2965 0.3973
Th: 0.2186 0.1557 0.9448
Th: 0.3144 0.6541 0.8750
Th: 0.3189 0.7666 0.3578
Th: 0.6811 0.2334 0.6422
Th: 0.6856 0.3459 0.1250
Th: 0.7814 0.8443 0.0552
Th: 0.8270 0.7035 0.6027
Mn: 0.4620 0.9642 0.6612
Mn: 0.5380 0.0358 0.3388
Co: 0.0651 0.9580 0.6798
Co: 0.9349 0.0420 0.3202

The formation energy is -0.021 eV/atom. For the density of states at the Fermi level, the calculation gives 7.53 states/eV/f.u.

***

Number 1: VASP energy -5.615 eV/atom. Number 2: VASP energy -4.028 eV/atom. Number 3: VASP energy -7.680 eV/atom.